# 1
A relaxed PmGaBi crystal, computed with PBE-GGA.

```
data_PmGaBi
_space_group_name_H-M_alt 'P b c m'
_space_group_IT_number 57
_cell_length_a 13.689
_cell_length_b 4.910
_cell_length_c 4.923
_cell_angle_alpha 90.00
_cell_angle_beta 90.00
_cell_angle_gamma 90.00
loop_
_space_group_symop_operation_xyz
'x,y,z'
'-x,-y,-z'
'-x,-y,z+1/2'
'x,y,-z+1/2'
'x,-y+1/2,-z'
'-x,y+1/2,z'
'-x,y+1/2,-z+1/2'
'x,-y+1/2,z+1/2'
loop_
_atom_site_label
_atom_site_type_symbol
_atom_site_fract_x
_atom_site_fract_y
_atom_site_fract_z
Pm1 Pm 0.202 0.000 0.250
Ga1 Ga 0.047 0.001 0.750
Bi1 Bi 0.379 0.000 0.750
```

Summary:
- Energy of formation: -395 meV/atom
- Total energy: -4.281 eV per atom
- Size of the total moment: 0.00 μB/f.u.
- ΔE to the lowest computed polymorph: 0.029 eV/atom

=====

# 2
A relaxed Pm8GaBi2 crystal, computed with PBE-GGA.

```
data_Pm8GaBi2
_space_group_name_H-M_alt 'C 1 2/m 1'
_space_group_IT_number 12
_cell_length_a 19.894
_cell_length_b 5.236
_cell_length_c 6.888
_cell_angle_alpha 90.00
_cell_angle_beta 103.36
_cell_angle_gamma 90.00
loop_
_space_group_symop_operation_xyz
'x,y,z'
'-x,-y,-z'
'-x,y,-z'
'x,-y,z'
'x+1/2,y+1/2,z'
'-x+1/2,-y+1/2,-z'
'-x+1/2,y+1/2,-z'
'x+1/2,-y+1/2,z'
loop_
_atom_site_label
_atom_site_type_symbol
_atom_site_fract_x
_atom_site_fract_y
_atom_site_fract_z
Pm1 Pm 0.014 0.000 0.275
Pm2 Pm 0.089 0.500 0.978
Pm3 Pm 0.153 0.500 0.525
Pm4 Pm 0.219 0.000 0.834
Ga1 Ga 0.000 0.500 0.500
Bi1 Bi 0.178 0.000 0.271
```

Summary:
- Energy of formation: -363 meV/atom
- Total energy: -4.798 eV per atom
- Size of the total moment: 1.13 μB/f.u.

=====

# 3
A relaxed Pm7Ga2Bi2 crystal, computed with PBE-GGA.

```
data_Pm7Ga2Bi2
_space_group_name_H-M_alt 'C m m m'
_space_group_IT_number 65
_space_group_name_Hall '-C 2 2'
_cell_length_a 9.292
_cell_length_b 11.297
_cell_length_c 6.959
_cell_angle_alpha 90.00
_cell_angle_beta 90.00
_cell_angle_gamma 90.00
loop_
_atom_site_label
_atom_site_type_symbol
_atom_site_fract_x
_atom_site_fract_y
_atom_site_fract_z
Pm1 Pm 0.000 0.000 0.000
Pm2 Pm 0.000 0.500 0.242
Pm3 Pm 0.250 0.250 0.262
Ga1 Ga 0.000 0.272 0.000
Bi1 Bi 0.191 0.000 0.500
```

Summary:
- Energy of formation: -297 meV/atom
- Total energy: -4.577 eV per atom
- Size of the total moment: 0.00 μB/f.u.